The following is a PBE-GGA calculation of a geometry-optimized Zr4TiZn2 structure, from Alexandria via LeMat-Bulk.

Cell and atoms, written as CIF:
```
data_Zr4TiZn2
_chemical_formula_sum 'Zr8 Ti2 Zn4'
_symmetry_space_group_name_H-M 'I 4/m m m'
_symmetry_Int_Tables_number 139
_symmetry_space_group_name_Hall '-I 4 2'
_cell_length_a 6.4981
_cell_length_b 6.4981
_cell_length_c 6.9345
_cell_angle_alpha 90.00
_cell_angle_beta 90.00
_cell_angle_gamma 90.00
loop_
_atom_site_label
_atom_site_type_symbol
_atom_site_fract_x
_atom_site_fract_y
_atom_site_fract_z
Zr1 Zr 0.2500 0.2500 0.2500
Ti1 Ti 0.0000 0.0000 0.0000
Zn1 Zn 0.0000 0.5000 0.0000
```

Properties
Formation enthalpy at 0 K in eV per atom: 0.08


The following is a PBE-GGA calculation of a geometry-optimized PaIN structure, from Alexandria via LeMat-Bulk.

Cell and atoms, written as CIF:
```
data_PaIN
_chemical_formula_sum 'Pa1 I1 N1'
_symmetry_space_group_name_H-M 'P -6 m 2'
_symmetry_Int_Tables_number 187
_symmetry_space_group_name_Hall 'P -6 2'
_cell_length_a 3.8512
_cell_length_b 3.8512
_cell_length_c 5.2897
_cell_angle_alpha 90.00
_cell_angle_beta 90.00
_cell_angle_gamma 120.00
loop_
_atom_site_label
_atom_site_type_symbol
_atom_site_fract_x
_atom_site_fract_y
_atom_site_fract_z
Pa1 Pa 0.0000 0.0000 0.0000
I1 I 0.6667 0.3333 0.5000
N1 N 0.3333 0.6667 0.0000
```

Properties
Formation energy (no corrections) in eV/f.u.: -3.56


What did the second record say?
The following is a PBE-GGA calculation of a geometry-optimized PaIN structure, from Alexandria via LeMat-Bulk.

Cell and atoms, written as CIF:
```
data_PaIN
_chemical_formula_sum 'Pa1 I1 N1'
_symmetry_space_group_name_H-M 'P -6 m 2'
_symmetry_Int_Tables_number 187
_symmetry_space_group_name_Hall 'P -6 2'
_cell_length_a 3.8512
_cell_length_b 3.8512
_cell_length_c 5.2897
_cell_angle_alpha 90.00
_cell_angle_beta 90.00
_cell_angle_gamma 120.00
loop_
_atom_site_label
_atom_site_type_symbol
_atom_site_fract_x
_atom_site_fract_y
_atom_site_fract_z
Pa1 Pa 0.0000 0.0000 0.0000
I1 I 0.6667 0.3333 0.5000
N1 N 0.3333 0.6667 0.0000
```

Properties
Formation energy (no corrections) in eV/f.u.: -3.56